This record from Alexandria via LeMat-Bulk describes a relaxed NiP2WO crystal. The functional is PBE with a Hubbard U.

Structure (POSCAR):
```
NiP2WO
1.0
4.829 0.000 0.000
0.000 4.829 0.000
0.000 0.000 3.798
Ni P W O
1 2 1 1
direct
0.000 0.000 0.000 Ni
0.000 0.500 0.500 P
0.500 0.000 0.500 P
0.500 0.500 0.500 W
0.500 0.500 0.000 O
```

## Properties
For the total energy, the calculation gives -4.84 eV/atom. Its total magnetic moment is 1.0 μB/cell. The energy above the most stable polymorph in this dataset is 0.0 meV/atom. The space-group type is No. 123.